Entry 1:
{"formula": "BaInCuF2", "functional": "SCAN", "state": "single point on PBEsol structure", "raw_formation_energy_mev_per_atom": -1621.5, "dos_ef_per_ev_atom": 0.36, "cell": [[4.645, 0.000, 0.000], [0.000, 4.645, 0.000], [0.000, 0.000, 4.966]], "species": ["In", "Cu", "Ba", "F", "F"], "frac_coords": [[0.000, 0.000, 0.000], [0.000, 0.000, 0.500], [0.500, 0.500, 0.500], [0.500, 0.000, 0.000], [0.000, 0.500, 0.000]]}

Entry 2:
{"formula": "Ba2YCu3O6F", "functional": "SCAN", "state": "single point on PBEsol structure", "raw_formation_energy_mev_per_atom": -2195.6, "dos_ef_per_ev_atom": 0.24, "cell": [[3.778, 0.000, 0.000], [0.000, 3.930, 0.000], [0.000, 0.000, 11.701]], "species": ["O", "O", "O", "O", "O", "O", "Ba", "Ba", "Cu", "Cu", "Cu", "Y", "F"], "frac_coords": [[0.000, 0.500, 0.378], [0.500, 0.000, 0.619], [0.000, 0.500, 0.622], [0.000, 0.000, 0.158], [0.000, 0.000, 0.842], [0.500, 0.000, 0.381], [0.500, 0.500, 0.806], [0.500, 0.500, 0.194], [0.000, 0.000, 0.640], [0.000, 0.000, 0.000], [0.000, 0.000, 0.360], [0.500, 0.500, 0.500], [0.000, 0.500, 0.000]]}

Entry 3:
{"formula": "BaScCuF2", "functional": "SCAN", "state": "single point on PBEsol structure", "raw_formation_energy_mev_per_atom": -1298.9, "dos_ef_per_ev_atom": 0.61, "cell": [[4.728, 0.000, 0.000], [0.000, 4.728, 0.000], [0.000, 0.000, 6.273]], "species": ["Ba", "F", "F", "Cu", "Sc"], "frac_coords": [[0.000, 0.000, 0.000], [0.500, 0.000, 0.000], [0.000, 0.500, 0.000], [0.000, 0.000, 0.500], [0.500, 0.500, 0.500]]}

Entry 4:
{"formula": "Ba2CuSn2F14", "functional": "SCAN", "state": "single point on PBEsol structure", "raw_formation_energy_mev_per_atom": -2967.0, "dos_ef_per_ev_atom": 0.00, "cell": [[-2.257, 4.582, 1.491], [-5.205, -4.632, -3.136], [-2.774, -5.901, 13.934]], "species": ["F", "F", "F", "F", "F", "F", "F", "F", "F", "F", "F", "F", "F", "F", "F", "F", "F", "F", "F", "F", "F", "F", "F", "F", "F", "F", "F", "F", "Ba", "Ba", "Ba", "Ba", "Cu", "Cu", "Sn", "Sn", "Sn", "Sn"], "frac_coords": [[0.470, 0.103, 0.604], [0.072, 0.989, 0.347], [0.713, 0.831, 0.014], [0.928, 0.011, 0.653], [0.992, 0.637, 0.220], [0.817, 0.251, 0.289], [0.874, 0.495, 0.592], [0.645, 0.637, 0.720], [0.634, 0.103, 0.104], [0.008, 0.363, 0.780], [0.183, 0.749, 0.711], [0.530, 0.897, 0.396], [0.366, 0.897, 0.896], [0.882, 0.169, 0.486], [0.412, 0.296, 0.451], [0.287, 0.169, 0.986], [0.118, 0.831, 0.514], [0.884, 0.296, 0.951], [0.355, 0.363, 0.280], [0.917, 0.989, 0.847], [0.083, 0.011, 0.153], [0.434, 0.251, 0.789], [0.588, 0.704, 0.549], [0.126, 0.505, 0.408], [0.566, 0.749, 0.211], [0.116, 0.704, 0.049], [0.378, 0.505, 0.908], [0.622, 0.495, 0.092], [0.266, 0.354, 0.629], [0.089, 0.354, 0.129], [0.911, 0.646, 0.871], [0.734, 0.646, 0.371], [0.500, 0.000, 0.000], [0.500, 0.000, 0.500], [0.089, 0.243, 0.373], [0.154, 0.243, 0.873], [0.911, 0.757, 0.627], [0.846, 0.757, 0.127]]}

Entry 5:
{"formula": "BaCuTeF", "functional": "SCAN", "state": "single point on PBEsol structure", "raw_formation_energy_mev_per_atom": -2065.2, "cell": [[4.370, 0.000, 0.000], [0.000, 4.370, 0.000], [0.000, 0.000, 9.289]], "species": ["Te", "Te", "Cu", "Cu", "Ba", "Ba", "F", "F"], "frac_coords": [[0.000, 0.500, 0.160], [0.500, 0.000, 0.840], [0.000, 0.000, 0.000], [0.500, 0.500, 0.000], [0.500, 0.000, 0.340], [0.000, 0.500, 0.660], [0.000, 0.000, 0.500], [0.500, 0.500, 0.500]]}

Entry 6:
{"formula": "Ba2Ti2CuF14", "functional": "SCAN", "state": "single point on PBEsol structure", "raw_formation_energy_mev_per_atom": -3507.6, "dos_ef_per_ev_atom": 0.00, "cell": [[5.196, 0.000, 0.000], [-2.598, 7.011, -0.072], [0.000, -0.462, 14.953]], "species": ["F", "F", "F", "F", "F", "F", "F", "F", "F", "F", "F", "F", "F", "F", "F", "F", "F", "F", "F", "F", "F", "F", "F", "F", "F", "F", "F", "F", "Ba", "Ba", "Ba", "Ba", "Ti", "Ti", "Ti", "Ti", "Cu", "Cu"], "frac_coords": [[0.160, 0.737, 0.058], [0.896, 0.155, 0.478], [0.995, 0.644, 0.219], [0.649, 0.644, 0.719], [0.840, 0.263, 0.942], [0.170, 0.486, 0.426], [0.166, 0.725, 0.696], [0.059, 0.010, 0.160], [0.005, 0.356, 0.781], [0.316, 0.486, 0.926], [0.423, 0.263, 0.442], [0.050, 0.990, 0.340], [0.371, 0.862, 0.895], [0.577, 0.737, 0.558], [0.741, 0.845, 0.022], [0.629, 0.138, 0.105], [0.560, 0.725, 0.196], [0.684, 0.514, 0.074], [0.351, 0.356, 0.281], [0.830, 0.514, 0.574], [0.492, 0.862, 0.395], [0.259, 0.155, 0.978], [0.941, 0.990, 0.840], [0.440, 0.275, 0.804], [0.950, 0.010, 0.660], [0.104, 0.845, 0.522], [0.508, 0.138, 0.605], [0.834, 0.275, 0.304], [0.236, 0.369, 0.616], [0.133, 0.369, 0.116], [0.764, 0.631, 0.384], [0.867, 0.631, 0.884], [0.133, 0.238, 0.870], [0.104, 0.238, 0.370], [0.896, 0.762, 0.630], [0.867, 0.762, 0.130], [0.500, 0.000, 0.000], [0.500, 0.000, 0.500]]}

Entry 7:
{"formula": "Ba2V2CuF12", "functional": "SCAN", "state": "single point on PBEsol structure", "raw_formation_energy_mev_per_atom": -3338.6, "dos_ef_per_ev_atom": 0.24, "cell": [[-4.734, 2.435, -0.508], [-4.601, -4.303, 2.701], [-2.575, 1.984, 6.650]], "species": ["F", "F", "F", "F", "F", "F", "F", "F", "F", "F", "F", "F", "V", "V", "Cu", "Ba", "Ba"], "frac_coords": [[0.387, 0.612, 0.247], [0.870, 0.530, 0.350], [0.811, 0.351, 0.037], [0.572, 0.400, 0.759], [0.262, 0.008, 0.975], [0.128, 0.507, 0.638], [0.751, 0.932, 0.063], [0.028, 0.092, 0.629], [0.534, 0.222, 0.506], [0.473, 0.789, 0.489], [0.976, 0.910, 0.359], [0.181, 0.646, 0.964], [0.057, 0.777, 0.164], [0.494, 0.502, 0.505], [0.945, 0.229, 0.823], [0.313, 0.202, 0.229], [0.717, 0.792, 0.765]]}

Entry 8:
{"formula": "Ba2V2ZnCuF14", "functional": "SCAN", "state": "single point on PBEsol structure", "raw_formation_energy_mev_per_atom": -3193.1, "dos_ef_per_ev_atom": 0.06, "cell": [[5.206, 0.000, 0.000], [-2.603, 6.959, 0.037], [0.000, -0.346, 14.474]], "species": ["F", "F", "F", "F", "F", "F", "F", "F", "F", "F", "F", "F", "F", "F", "F", "F", "F", "F", "F", "F", "F", "F", "F", "F", "F", "F", "F", "F", "V", "V", "V", "V", "Ba", "Ba", "Ba", "Ba", "Zn", "Zn", "Cu", "Cu"], "frac_coords": [[0.655, 0.501, 0.091], [0.846, 0.501, 0.591], [0.618, 0.100, 0.129], [0.181, 0.766, 0.708], [0.368, 0.344, 0.277], [0.261, 0.159, 0.983], [0.518, 0.900, 0.371], [0.382, 0.900, 0.871], [0.154, 0.499, 0.409], [0.898, 0.159, 0.483], [0.889, 0.997, 0.837], [0.819, 0.234, 0.292], [0.976, 0.344, 0.777], [0.632, 0.656, 0.723], [0.573, 0.719, 0.547], [0.739, 0.841, 0.017], [0.415, 0.234, 0.792], [0.854, 0.281, 0.953], [0.102, 0.841, 0.517], [0.111, 0.003, 0.163], [0.482, 0.100, 0.629], [0.024, 0.656, 0.223], [0.585, 0.766, 0.208], [0.108, 0.997, 0.337], [0.892, 0.003, 0.663], [0.427, 0.281, 0.453], [0.146, 0.719, 0.047], [0.345, 0.499, 0.909], [0.868, 0.757, 0.125], [0.888, 0.757, 0.625], [0.112, 0.243, 0.375], [0.132, 0.243, 0.875], [0.255, 0.366, 0.622], [0.888, 0.634, 0.878], [0.745, 0.634, 0.378], [0.112, 0.366, 0.122], [0.546, 0.000, 0.750], [0.454, 0.000, 0.250], [0.500, 0.000, 0.500], [0.500, 0.000, 0.000]]}

Entry 9:
{"formula": "Ba2ZnCu3F14", "functional": "SCAN", "state": "single point on PBEsol structure", "raw_formation_energy_mev_per_atom": -2601.6, "dos_ef_per_ev_atom": 0.14, "cell": [[5.172, 0.000, 0.000], [-2.586, 6.778, 0.014], [0.000, -0.303, 14.272]], "species": ["F", "F", "F", "F", "F", "F", "F", "F", "F", "F", "F", "F", "F", "F", "F", "F", "F", "F", "F", "F", "F", "F", "F", "F", "F", "F", "F", "F", "Cu", "Cu", "Cu", "Cu", "Cu", "Cu", "Zn", "Zn", "Ba", "Ba", "Ba", "Ba"], "frac_coords": [[0.582, 0.768, 0.209], [0.487, 0.107, 0.623], [0.095, 0.977, 0.337], [0.182, 0.491, 0.417], [0.883, 0.977, 0.837], [0.625, 0.668, 0.724], [0.886, 0.153, 0.485], [0.180, 0.759, 0.044], [0.905, 0.023, 0.663], [0.310, 0.491, 0.917], [0.117, 0.023, 0.163], [0.418, 0.232, 0.791], [0.818, 0.509, 0.583], [0.733, 0.847, 0.015], [0.114, 0.847, 0.515], [0.690, 0.509, 0.083], [0.267, 0.153, 0.985], [0.380, 0.893, 0.877], [0.620, 0.107, 0.123], [0.420, 0.241, 0.456], [0.186, 0.768, 0.709], [0.513, 0.893, 0.377], [0.375, 0.332, 0.276], [0.820, 0.241, 0.956], [0.043, 0.668, 0.224], [0.580, 0.759, 0.544], [0.814, 0.232, 0.291], [0.957, 0.332, 0.776], [0.120, 0.230, 0.873], [0.500, 0.000, 0.500], [0.110, 0.230, 0.373], [0.890, 0.770, 0.627], [0.880, 0.770, 0.127], [0.500, 0.000, 0.000], [0.557, 0.000, 0.750], [0.443, 0.000, 0.250], [0.859, 0.614, 0.880], [0.245, 0.386, 0.620], [0.141, 0.386, 0.120], [0.755, 0.614, 0.380]]}

Entry 10:
{"formula": "Ba2FeCu", "functional": "SCAN", "state": "single point on PBEsol structure", "dos_ef_per_ev_atom": 0.90, "total_energy_ev_per_atom": -27.606, "cell": [[-3.155, -1.952, -0.768], [2.010, -2.414, -2.119], [1.249, -4.500, 6.309]], "species": ["Cu", "Fe", "Ba", "Ba"], "frac_coords": [[0.500, 0.500, 0.000], [0.500, 0.500, 0.500], [0.000, 0.000, 0.249], [0.000, 0.000, 0.751]]}

Entry 11:
{"formula": "Ba2FeCu", "functional": "SCAN", "state": "single point on PBEsol structure", "dos_ef_per_ev_atom": 0.86, "total_energy_ev_per_atom": -27.474, "cell": [[5.217, 0.000, 0.000], [2.608, 4.518, 0.000], [2.608, 1.506, 4.259]], "species": ["Ba", "Ba", "Fe", "Cu"], "frac_coords": [[0.750, 0.750, 0.750], [0.000, 0.000, 0.000], [0.250, 0.250, 0.250], [0.500, 0.500, 0.500]]}

Entry 12:
{"formula": "BaFe3Cu", "functional": "SCAN", "state": "single point on PBEsol structure", "dos_ef_per_ev_atom": 1.21, "total_energy_ev_per_atom": -19.154, "cell": [[-3.640, -2.994, 0.599], [1.814, -1.371, 4.171], [-2.455, 3.425, 2.194]], "species": ["Fe", "Fe", "Fe", "Cu", "Ba"], "frac_coords": [[0.500, 0.000, 0.000], [0.000, 0.500, 0.000], [0.000, 0.000, 0.500], [0.500, 0.500, 0.500], [0.000, 0.000, 0.000]]}

Question: Which formula does entry 3 have?
Answer: BaScCuF2